1.
Material: TbDy3Rh
Method: DFT, PBE-GGA
State: relaxed

Lattice parameters (Å, degrees): 6.2744 6.2744 13.6544 113.91 113.91 34.94
Closest atoms and distances in Å follow each position.
Positions (direct):
Tb: 0.0000 0.0000 0.0000  2 Rh 2.92
Tb: 0.1077 0.1077 0.2809  3 Rh 2.83-2.94
Dy: 0.3158 0.3158 0.7636  10 Dy 3.48-3.82, 2 Tb 3.57, 1 Rh 3.64
Dy: 0.3301 0.3301 0.1267  2 Rh 2.84
Dy: 0.6540 0.6540 0.5262  2 Rh 2.85
Dy: 0.6684 0.6684 0.8884  9 Dy 3.48-3.82, 3 Tb 3.54-3.60, 1 Rh 3.66
Dy: 0.8763 0.8763 0.3723  3 Rh 2.83-2.93
Dy: 0.9840 0.9840 0.6517  2 Rh 2.91
Rh: 0.3159 0.3159 0.4970  6 Dy 2.83-2.91, 1 Tb 2.94
Rh: 0.6694 0.6694 0.1568  4 Tb 2.83-2.92, 3 Dy 2.84-2.93

Summary:
total magnetization = 0.000 μB/atom
space group = Cm (8)
ΔH_f (0 K) = -1.93 eV per formula unit
mass density = 8.93 g cm⁻³
N(E_F) = 1.1248 states/eV/atom


2.
Material: TlHg2SbPd
Method: DFT, PBE-GGA
State: relaxed

Lattice parameters (Å, degrees): 5.6643 5.6643 5.0797 90.00 90.00 90.00
Closest atoms and distances in Å follow each position.
Positions (direct):
Tl: 0.0000 0.0000 0.0000  8 Hg 3.80, 4 Pd 4.01
Hg: 0.0000 0.5000 0.5000  2 Sb 2.83
Hg: 0.5000 0.0000 0.5000  2 Sb 2.83
Sb: 0.5000 0.5000 0.5000  2 Pd 2.54, 4 Hg 2.83
Pd: 0.5000 0.5000 0.0000  2 Sb 2.54

Summary:
total magnetization = 0.000 μB/atom
space group = P4/mmm (123)
formation energy from raw total energies = 159 meV per atom
mass density = 8.49 g cm⁻³
N(E_F) = 0.2928 states/eV/atom


3.
Material: La2YMnW
Method: DFT, PBE-GGA
State: relaxed

Lattice parameters (Å, degrees): 5.7122 5.7122 4.8701 90.00 90.00 90.00
Closest atoms and distances in Å follow each position.
Positions (direct):
La: 0.0000 0.5000 0.0000  2 Y 2.86
La: 0.5000 0.0000 0.0000  2 Y 2.86
Y: 0.0000 0.0000 0.0000  2 W 2.44
Mn: 0.5000 0.5000 0.5000  8 La 3.75, 4 W 4.04
W: 0.0000 0.0000 0.5000  2 Y 2.44

Summary:
total magnetization = 0.251 μB/atom
space group = P4/mmm (123)
ΔH_f (0 K) = 10.56 eV per formula unit
mass density = 6.33 g cm⁻³
N(E_F) = 1.8106 states/eV/atom


4.
Material: Tm3Al2Au7
Method: DFT, PBE-GGA
State: relaxed

Lattice parameters (Å, degrees): 14.2897 14.2897 14.2897 163.13 163.13 23.94
Closest atoms and distances in Å follow each position.
Positions (direct):
Tm: 0.0000 0.0000 0.0000  12 Au 2.96-3.06
Tm: 0.1747 0.1747 0.0000  5 Au 2.92-3.23, 4 Al 3.20
Tm: 0.8253 0.8253 0.0000  5 Au 2.92-3.23, 4 Al 3.20
Al: 0.3682 0.3682 0.0000  5 Au 2.50-2.55
Al: 0.6318 0.6318 0.0000  5 Au 2.50-2.55
Au: 0.0797 0.5797 0.5000  2 Al 2.55
Au: 0.2790 0.2790 0.0000  1 Al 2.50
Au: 0.4203 0.9203 0.5000  2 Al 2.55
Au: 0.5000 0.5000 0.0000  4 Tm 2.96, 8 Au 3.06
Au: 0.5797 0.0797 0.5000  2 Al 2.55
Au: 0.7210 0.7210 0.0000  1 Al 2.50
Au: 0.9203 0.4203 0.5000  2 Al 2.55

Summary:
total magnetization = 0.000 μB/atom
space group = I4/mmm (139)
ΔH_f (0 K) = -7.33 eV per formula unit
mass density = 13.11 g cm⁻³
N(E_F) = 0.2454 states/eV/atom


5.
Material: PmGa3AgPd
Method: DFT, PBE-GGA
State: relaxed

Lattice parameters (Å, degrees): 7.1954 7.1954 6.1609 90.00 90.00 131.71
Closest atoms and distances in Å follow each position.
Positions (direct):
Pm: 0.2001 0.7999 0.7500  1 Pd 2.78, 2 Ga 3.08
Pm: 0.7999 0.2001 0.2500  1 Pd 2.78, 2 Ga 3.08
Ga: 0.2153 0.2153 0.0000  1 Ga 2.53, 2 Pd 2.55
Ga: 0.2153 0.2153 0.5000  1 Ga 2.53, 2 Pd 2.55
Ga: 0.3688 0.6312 0.2500  1 Ag 2.74, 4 Ga 2.85, 1 Pd 2.88
Ga: 0.6312 0.3688 0.7500  1 Ag 2.74, 4 Ga 2.85, 1 Pd 2.88
Ga: 0.7847 0.7847 0.0000  1 Ga 2.53, 2 Pd 2.55
Ga: 0.7847 0.7847 0.5000  1 Ga 2.53, 2 Pd 2.55
Ag: 0.1604 0.8396 0.2500  5 Ga 2.74-2.90
Ag: 0.8396 0.1604 0.7500  5 Ga 2.74-2.90
Pd: 0.4119 0.5881 0.7500  4 Ga 2.55, 1 Pm 2.78
Pd: 0.5881 0.4119 0.2500  4 Ga 2.55, 1 Pm 2.78

Summary:
total magnetization = 0.000 μB/atom
space group = Cmcm (63)
ΔH_f (0 K) = -2.19 eV per formula unit
mass density = 7.93 g cm⁻³
N(E_F) = 0.3767 states/eV/atom


6.
Material: Pu4Te2AsS
Method: DFT, PBE-GGA
State: relaxed

Lattice parameters (Å, degrees): 7.3078 4.2181 7.4544 90.00 109.61 90.00
Closest atoms and distances in Å follow each position.
Positions (direct):
Pu: 0.2346 0.0000 0.2185  2 S 2.86, 1 As 2.92, 3 Te 3.12-3.14
Pu: 0.2552 0.5000 0.7759  1 S 2.89, 2 As 2.90, 3 Te 3.10-3.15
Pu: 0.7448 0.5000 0.2241  1 S 2.89, 2 As 2.90, 3 Te 3.10-3.15
Pu: 0.7654 0.0000 0.7815  2 S 2.86, 1 As 2.92, 3 Te 3.12-3.14
Te: 0.0000 0.0000 0.5000  6 Pu 3.10-3.12
Te: 0.5000 0.5000 0.5000  6 Pu 3.14-3.15
As: 0.5000 0.0000 0.0000  6 Pu 2.90-2.92
S: 0.0000 0.5000 0.0000  6 Pu 2.86-2.89

Summary:
total magnetization = 0.022 μB/atom
space group = P2/m (10)
formation energy from raw total energies = -1192 meV per atom
mass density = 10.27 g cm⁻³
N(E_F) = 5.5954 states/eV/atom


7.
Material: ScB6Mo2
Method: DFT, PBE-GGA
State: relaxed

Lattice parameters (Å, degrees): 5.3271 5.3271 3.3183 90.00 90.00 120.00
Closest atoms and distances in Å follow each position.
Positions (direct):
Sc: 0.0000 0.0000 0.0000  12 B 2.44
B: 0.0000 0.3348 0.5000  3 B 1.76-1.78
B: 0.0000 0.6652 0.5000  3 B 1.76-1.78
B: 0.3348 0.0000 0.5000  3 B 1.76-1.78
B: 0.3348 0.3348 0.5000  3 B 1.76-1.78
B: 0.6652 0.0000 0.5000  3 B 1.76-1.78
B: 0.6652 0.6652 0.5000  3 B 1.76-1.78
Mo: 0.3333 0.6667 0.0000  12 B 2.43
Mo: 0.6667 0.3333 0.0000  12 B 2.43

Summary:
total magnetization = 0.001 μB/atom
space group = P6/mmm (191)
ΔH_f (0 K) = -5.14 eV per formula unit
mass density = 6.14 g cm⁻³
N(E_F) = 0.5270 states/eV/atom


8.
Material: BaInSn
Method: DFT, PBE-GGA
State: relaxed

Lattice parameters (Å, degrees): 4.9039 4.9039 5.2091 90.00 90.00 120.00
Closest atoms and distances in Å follow each position.
Positions (direct):
Ba: 0.0000 0.0000 0.0000  3 In 3.60, 3 Sn 3.62
In: 0.3333 0.6667 0.4280  3 Sn 2.92
Sn: 0.6667 0.3333 0.5666  3 In 2.92

Summary:
total magnetization = 0.000 μB/atom
space group = P3m1 (156)
ΔH_f (0 K) = -1.57 eV per formula unit
mass density = 5.68 g cm⁻³
N(E_F) = 0.5282 states/eV/atom


- The lowest N(E_F) belongs to which entry?
  Tm3Al2Au7


- Which formula does entry 7 have?
  ScB6Mo2